(1)
Material: K2CuW
Method: DFT, GGA-PBE
State: optimized geometry Values from VASP.

Calculated values
Fermi-level density of states ... 0.64 states/eV/atom
Space-group type ... Imm2 (44)
Energy of formation ... 1.216 eV/atom

The structure in Quantum ESPRESSO input format:
```
&SYSTEM
  ibrav = 0, nat = 4, ntyp = 3
/
ATOMIC_SPECIES
K 39.10 K.upf
W 183.84 W.upf
Cu 63.55 Cu.upf
ATOMIC_POSITIONS crystal
K 0.263 0.763 0.500
W 0.556 0.556 0.000
Cu 0.719 0.219 0.500
K 0.963 0.963 0.000
CELL_PARAMETERS angstrom
7.278 -0.003 -0.037
4.067 6.036 0.037
-4.584 -5.064 2.514
```

(2)
Material: LiLa2BiRu
Method: DFT, GGA-PBE
State: optimized geometry Values from VASP.

Calculated values
Fermi-level density of states ... 0.37 states/eV/atom
Space-group type ... P4/mmm (123)
Energy of formation ... -0.412 eV/atom

The structure in Quantum ESPRESSO input format:
```
&SYSTEM
  ibrav = 0, nat = 5, ntyp = 4
/
ATOMIC_SPECIES
Bi 208.98 Bi.upf
Li 6.94 Li.upf
Ru 101.07 Ru.upf
La 138.91 La.upf
ATOMIC_POSITIONS crystal
Bi 0.500 0.500 0.500
Li 0.000 0.000 0.500
Ru 0.000 0.000 0.000
La 0.000 0.500 0.000
La 0.500 0.000 0.000
CELL_PARAMETERS angstrom
5.339 0.000 0.000
0.000 5.339 0.000
0.000 0.000 4.917
```

(3)
Material: Mg7Si4
Method: DFT, GGA-PBE
State: optimized geometry Values from VASP.

Calculated values
Fermi-level density of states ... 0.32 states/eV/atom
Space-group type ... P1 (1)
Formation energy without anion corrections ... 0.019 eV per atom

The structure in Quantum ESPRESSO input format:
```
&SYSTEM
  ibrav = 0, nat = 22, ntyp = 2
/
ATOMIC_SPECIES
Si 28.09 Si.upf
Mg 24.30 Mg.upf
ATOMIC_POSITIONS crystal
Si 0.970 0.126 0.722
Mg 0.538 0.965 0.780
Mg 0.056 0.579 0.030
Mg 0.573 0.824 0.049
Si 0.398 0.585 0.185
Si 0.247 0.308 0.863
Mg 0.297 0.098 0.571
Mg 0.779 0.351 0.578
Si 0.371 0.188 0.174
Si 0.957 0.055 0.404
Mg 0.893 0.162 0.218
Mg 0.454 0.468 0.369
Si 0.962 0.740 0.728
Si 0.259 0.693 0.865
Mg 0.298 0.602 0.589
Mg 0.703 0.482 0.823
Mg 0.772 0.825 0.532
Si 0.972 0.449 0.412
Mg 0.439 0.966 0.336
Mg 0.911 0.671 0.255
Mg 0.060 0.054 0.990
Mg 0.592 0.312 0.023
CELL_PARAMETERS angstrom
-5.500 -0.003 0.037
-0.009 -6.236 0.003
1.444 3.082 13.092
```